--- P ---
Compound: CsKSb
Source: Alexandria
Functional: PBE
Structure: relaxed

Summary:
DOS(E_F)   0.731 states/eV/atom
Space-group type   I4mm

The structure in POSCAR format:
```
CsKSb
1.0
-1.9074 -1.2746 4.0690
2.5599 -3.9071 -0.0239
4.3816 5.6560 1.1446
Cs Sb K
1 1 1
direct
0.9856 0.9856 0.9711
0.3147 0.3147 0.6295
0.6997 0.6997 0.3994
```

--- Q ---
Compound: CsKSb
Source: Alexandria
Functional: PBE
Structure: relaxed

Summary:
DOS(E_F)   0.326 states/eV/atom
Space-group type   P2_1/c

The structure in POSCAR format:
```
CsKSb
1.0
-5.0983 -9.0174 -2.5169
6.7260 -3.4820 -1.1495
1.4713 -2.6778 6.6135
Sb Cs K
4 4 4
direct
0.5238 0.6451 0.3274
0.9762 0.6451 0.8274
0.0238 0.3549 0.1726
0.4762 0.3549 0.6726
0.8922 0.8505 0.2575
0.6078 0.8505 0.7575
0.3922 0.1495 0.2425
0.1078 0.1495 0.7425
0.2931 0.5972 0.9622
0.2069 0.5972 0.4622
0.7931 0.4028 0.5378
0.7069 0.4028 0.0378
```

Of the structures shown above, Q is the most stable.